BePbSe | GGA-PBE | relaxed

Calculated values
- relative energy among the computed polymorphs (eV/f.u.) = 1.72
- space group = No. 216
- raw total energy (eV/cell) = -9.79
- N(E_F) (states/eV per cell) = 1.96

a = 4.5864 Å, b = 4.5864 Å, c = 4.5864 Å
α = 60.00°, β = 60.00°, γ = 60.00°
Fractional positions:
Pb1 0.0000 0.0000 0.0000
Be1 0.2500 0.2500 0.2500
Se1 0.5000 0.5000 0.5000